HoMnO3: relaxed, PBE+U.

The structure belongs to space group P2_1/m (No. 11); the cell edges are 5.837, 3.754 and 6.096 Å and the angles 90.00°, 103.73° and 90.00°. The distinct sites, in fractional coordinates, are Ho at (0.043, 0.250, 0.254), Mn at (0.492, 0.250, 0.717), O at (0.154, 0.250, 0.644), O at (0.186, 0.750, 0.103) and O at (0.466, 0.250, 0.332).

The calculation puts the uncorrected energy at -7.99 eV/atom.